An optimized crystal structure of Tb3TmPb2, computed with GGA-PBE.

abc: 4.5625 4.5625 8.5858
angles: 90.00 90.00 90.00
Positions (direct):
Tb1 0.5000 0.0000 0.3417
Tb2 0.0000 0.5000 0.6583
Tb3 0.0000 0.0000 0.0000
Tm1 0.5000 0.5000 0.0000
Pb1 0.5000 0.0000 0.7161
Pb2 0.0000 0.5000 0.2839

Computed properties:
* V: 29.787 Å³/atom
* space group: No. 115
* E_form: -0.4214 eV/atom
* crystal system: tetragonal
* final energy: -0.3468 Ry/atom
* theoretical density: 9.8 Mg/m³


An optimized crystal structure of YTaRe2, computed with GGA-PBE.

abc: 4.2929 2.9646 6.0807
angles: 77.67 90.00 90.00
Positions (direct):
Re1 0.0000 0.0357 0.0481
Re2 0.0000 0.4643 0.4519
Ta1 0.5000 0.2500 0.2500
Y1 0.5000 0.7500 0.7500

Computed properties:
* V: 18.900 Å³/atom
* space group: No. 10
* E_form: 0.2399 eV/atom
* crystal system: monoclinic
* final energy: -0.7764 Ry/atom
* theoretical density: 14.1 Mg/m³


An optimized crystal structure of DyY2HoTh, computed with GGA-PBE.

abc: 6.3628 8.5237 6.2825
angles: 95.96 90.00 90.00
Positions (direct):
Dy1 0.0000 0.0000 0.0000
Dy2 0.0000 0.0000 0.5000
Y1 0.6990 0.6884 0.7815
Y2 0.6990 0.3116 0.7185
Y3 0.3010 0.6884 0.2815
Y4 0.3010 0.3116 0.2185
Ho1 0.1816 0.5000 0.7500
Ho2 0.8184 0.5000 0.2500
Th1 0.5547 0.0000 0.2500
Th2 0.4453 0.0000 0.7500

Computed properties:
* V: 33.889 Å³/atom
* space group: No. 13
* E_form: 0.3367 eV/atom
* crystal system: monoclinic
* final energy: -0.4093 Ry/atom
* theoretical density: 7.2 Mg/m³